Compound: K2TbAgCl6
Source: Alexandria
Functional: PBE
Structure: optimized geometry

abc: 7.5848 7.5848 7.5848
angles: 60.00 60.00 60.00
Fractional positions:
1 K 0.2500 0.2500 0.2500
2 K 0.7500 0.7500 0.7500
3 Tb 0.0000 0.0000 0.0000
4 Ag 0.5000 0.5000 0.5000
5 Cl 0.2459 0.2459 0.7541
6 Cl 0.2459 0.7541 0.2459
7 Cl 0.2459 0.7541 0.7541
8 Cl 0.7541 0.2459 0.2459
9 Cl 0.7541 0.2459 0.7541
10 Cl 0.7541 0.7541 0.2459

The value obtained for the total energy is -3.8500 eV per atom. The density of states at the Fermi level is 0.000 states/eV/f.u. Its total magnetic moment is 0.0 μB per formula unit. The formation energy (no corrections) comes out at -171.2 kJ/mol of atoms. The symmetry is Fm-3m. As for the polymorph energy (0 for the lowest one): 42.4 meV/atom.